1.
Here is an optimized crystal structure of ZnPRh2 from the Alexandria database. Energies are from GGA-PBEsol.

Results
offset from the most stable computed form = 173.9 meV/atom
magnetic moment = 0.0 μB/f.u.

Cell: 4.235 4.235 4.235 Å, 60.00 60.00 60.00°
Fractional positions:
Rh 0.000 0.000 0.000
Rh 0.750 0.750 0.750
Zn 0.250 0.250 0.250
P 0.500 0.500 0.500

***

2.
Here is an optimized crystal structure of Zr2PRh from the Alexandria database. Energies are from GGA-PBEsol.

Results
total energy = -9.1164 eV/atom
magnetic moment = 0.0 μB/f.u.

Cell: 3.568 3.814 5.359 Å, 90.00 109.45 90.00°
Fractional positions:
Rh 0.551 0.500 0.102
Zr 0.270 0.500 0.540
Zr 0.974 0.000 0.947
P 0.708 0.000 0.416

***

3.
Here is an optimized crystal structure of Zr2PRh from the Alexandria database. Energies are from GGA-PBEsol.

Results
total energy = -8.8826 eV/atom
magnetic moment = 0.0 μB/f.u.

Cell: 3.543 3.581 6.947 Å, 104.28 90.00 119.65°
Fractional positions:
Zr 0.244 0.488 0.241
Rh 0.000 0.000 0.500
Zr 0.756 0.512 0.759
P 0.500 0.000 0.000

***

- Which value of magnetic moment does entry 3 give?
  0.0 μB/f.u.

***

- What is the magnetic moment in the first record?
  0.0 μB/f.u.